# 1
Pr2Zn3InPd4 (PBE, optimized geometry); formation energy = -610 meV/atom; space group = P-4m2, No. 115
1.0
4.294 0.000 0.000
0.000 4.294 0.000
0.000 0.000 10.970
Pr Zn In Pd
2 3 1 4
direct
0.000 0.500 0.239
0.500 0.000 0.761
0.000 0.500 0.874
0.500 0.000 0.126
0.500 0.500 0.500
0.000 0.000 0.500
0.000 0.000 0.000
0.000 0.500 0.648
0.500 0.000 0.352
0.500 0.500 0.000

---

# 2
Na2SiBr (PBE, optimized geometry); distance to the lowest polymorph of the same formula = 0.43 eV per formula unit; E_form (uncorrected) = -0.0135 eV per atom; space group = Fm-3m, No. 225
1.0
7.624 0.000 0.000
0.000 7.624 0.000
0.000 0.000 7.624
Na Si Br
8 4 4
direct
0.250 0.250 0.250
0.250 0.250 0.750
0.250 0.750 0.250
0.250 0.750 0.750
0.750 0.250 0.250
0.750 0.250 0.750
0.750 0.750 0.250
0.750 0.750 0.750
0.000 0.000 0.000
0.000 0.500 0.500
0.500 0.000 0.500
0.500 0.500 0.000
0.000 0.000 0.500
0.000 0.500 0.000
0.500 0.000 0.000
0.500 0.500 0.500

---

| no. | E_tot (hartree per atom) |
| --- | --- |
| 1 | -0.1580 |
| 2 | -0.0899 |